## P
Material: YH2Pd2
Method: DFT, PBE
State: relaxed

Unit cell a=6.1388 b=6.1388 c=3.6583 alpha=90.00 beta=90.00 gamma=90.00
Closest atoms and distances in Å follow each position.
Element x y z (fractional)
Y 0.0000 0.0000 0.0000  4 H 2.33
Y 0.5000 0.5000 0.0000  4 H 2.33
H 0.1536 0.6536 0.0000  2 Pd 1.83
H 0.6536 0.8464 0.0000  2 Pd 1.83
H 0.8464 0.3464 0.0000  2 Pd 1.83
H 0.3464 0.1536 0.0000  2 Pd 1.83
Pd 0.1554 0.6554 0.5000  2 H 1.83
Pd 0.6554 0.8446 0.5000  2 H 1.83
Pd 0.8446 0.3446 0.5000  2 H 1.83
Pd 0.3446 0.1554 0.5000  2 H 1.83

## Q
Material: YH2Pd2
Method: DFT, PBE
State: relaxed

Unit cell a=3.7409 b=3.7409 c=5.1874 alpha=68.86 beta=68.86 gamma=90.00
Closest atoms and distances in Å follow each position.
Element x y z (fractional)
Y 0.0000 0.0000 0.0000  8 H 2.91, 10 Pd 2.97-3.04
H 0.7500 0.2500 0.5000  4 Pd 2.01
H 0.2500 0.7500 0.5000  4 Pd 2.01
Pd 0.3330 0.3330 0.3340  4 H 2.01
Pd 0.6670 0.6670 0.6660  4 H 2.01

Which of them is most stable? Easy: Q.

## P
Material: Y2HPd
Method: DFT, PBE
State: relaxed

Unit cell a=3.8916 b=3.8916 c=6.6211 alpha=72.91 beta=72.91 gamma=60.00
Closest atoms and distances in Å follow each position.
Element x y z (fractional)
Y 0.2405 0.2405 0.2786  3 H 2.64, 3 Pd 2.84
Y 0.7595 0.7595 0.7214  3 H 2.64, 3 Pd 2.84
H 0.5000 0.5000 0.5000  6 Y 2.64
Pd 0.0000 0.0000 0.0000  6 Y 2.84

## Q
Material: Y2HPd
Method: DFT, PBE
State: relaxed

Unit cell a=4.8423 b=4.8423 c=4.8423 alpha=60.00 beta=60.00 gamma=60.00
Closest atoms and distances in Å follow each position.
Element x y z (fractional)
Y 0.2500 0.2500 0.2500  4 Pd 2.97, 4 H 2.97
Y 0.7500 0.7500 0.7500  4 Pd 2.97, 4 H 2.97
H 0.0000 0.0000 0.0000  8 Y 2.97
Pd 0.5000 0.5000 0.5000  8 Y 2.97

Which of them is most stable? Easy: P.

## P
Material: Y2H2Pd
Method: DFT, PBE
State: relaxed

Unit cell a=6.8773 b=6.8773 c=3.2330 alpha=90.00 beta=90.00 gamma=90.00
Closest atoms and distances in Å follow each position.
Element x y z (fractional)
Y 0.1793 0.6793 0.5000  6 H 2.55-2.64
Y 0.6793 0.8207 0.5000  6 H 2.55-2.64
Y 0.8207 0.3207 0.5000  6 H 2.55-2.64
Y 0.3207 0.1793 0.5000  6 H 2.55-2.64
H 0.3822 0.8822 0.0000  1 H 2.29, 2 Y 2.55
H 0.8822 0.6178 0.0000  1 H 2.29, 2 Y 2.55
H 0.6178 0.1178 0.0000  1 H 2.29, 2 Y 2.55
H 0.1178 0.3822 0.0000  1 H 2.29, 2 Y 2.55
Pd 0.0000 0.0000 0.0000  4 H 2.75, 8 Y 3.00
Pd 0.5000 0.5000 0.0000  4 H 2.75, 8 Y 3.00

## Q
Material: Y2H2Pd
Method: DFT, PBE
State: relaxed

Unit cell a=3.5378 b=3.5378 c=6.7435 alpha=74.79 beta=74.79 gamma=90.00
Closest atoms and distances in Å follow each position.
Element x y z (fractional)
Y 0.3578 0.3578 0.2844  4 H 2.23
Y 0.6422 0.6422 0.7156  4 H 2.23
H 0.7500 0.2500 0.5000  4 Y 2.23
H 0.2500 0.7500 0.5000  4 Y 2.23
Pd 0.0000 0.0000 0.0000  8 Y 3.07

Which of them is most stable? Easy: Q.

## P
Material: ZnH3Pd6
Method: DFT, PBE
State: relaxed

Unit cell a=2.9620 b=9.4191 c=10.1167 alpha=121.59 beta=73.10 gamma=99.01
Closest atoms and distances in Å follow each position.
Element x y z (fractional)
Zn 0.6519 0.5871 0.8905  9 Pd 2.63-2.93
Zn 0.3481 0.4129 0.1095  9 Pd 2.63-2.93
H 0.8847 0.3327 0.5278  4 Pd 1.80-1.82
H 0.1153 0.6673 0.4722  4 Pd 1.80-1.82
H 0.8440 0.8785 0.3444  3 Pd 1.90-1.93
H 0.1560 0.1215 0.6556  3 Pd 1.90-1.93
H 0.8995 0.9598 0.8317  4 Pd 1.88-1.91
H 0.1005 0.0402 0.1683  4 Pd 1.88-1.91
Pd 0.7763 0.1492 0.5483  3 H 1.82-1.90
Pd 0.2237 0.8508 0.4517  3 H 1.82-1.90
Pd 0.7853 0.1521 0.0419  1 H 1.91
Pd 0.2147 0.8479 0.9581  1 H 1.91
Pd 0.9314 0.7288 0.6805  2 H 1.80-1.89
Pd 0.0686 0.2712 0.3195  2 H 1.80-1.89
Pd 0.6526 0.5460 0.3726  2 H 1.81-1.82
Pd 0.3474 0.4540 0.6274  2 H 1.81-1.82
Pd 0.0606 0.3315 0.8550  1 H 1.93
Pd 0.9394 0.6685 0.1450  1 H 1.93
Pd 0.4934 0.9788 0.2464  2 H 1.88
Pd 0.5066 0.0212 0.7536  2 H 1.88

## Q
Material: ZnH3Pd6
Method: DFT, PBE
State: relaxed

Unit cell a=5.1815 b=6.8933 c=6.8933 alpha=103.50 beta=90.00 gamma=90.00
Closest atoms and distances in Å follow each position.
Element x y z (fractional)
Zn 0.9310 0.2778 0.7222  9 Pd 2.53-2.79, 1 H 2.56
Zn 0.4310 0.7222 0.2778  9 Pd 2.53-2.79, 1 H 2.56
H 0.4447 0.9223 0.7626  3 Pd 1.82-1.95
H 0.9447 0.7626 0.9223  3 Pd 1.82-1.95
H 0.4951 0.3897 0.6103  3 Pd 1.85-1.87
H 0.9951 0.6103 0.3897  3 Pd 1.85-1.87
H 0.9447 0.0777 0.2374  3 Pd 1.82-1.95
H 0.4447 0.2374 0.0777  3 Pd 1.82-1.95
Pd 0.1847 0.7484 0.6055  2 H 1.85-1.95
Pd 0.6847 0.6055 0.7484  2 H 1.85-1.95
Pd 0.2038 0.5840 0.9243  1 H 1.82
Pd 0.7038 0.9243 0.5840  1 H 1.82
Pd 0.4883 0.9633 0.0367  2 H 1.86
Pd 0.4045 0.2225 0.7775  3 H 1.87-2.06
Pd 0.9045 0.7775 0.2225  3 H 1.87-2.06
Pd 0.9883 0.0367 0.9633  2 H 1.86
Pd 0.2038 0.0757 0.4160  1 H 1.82
Pd 0.7038 0.4160 0.0757  1 H 1.82
Pd 0.1847 0.3945 0.2516  2 H 1.85-1.95
Pd 0.6847 0.2516 0.3945  2 H 1.85-1.95

Which of them is most stable? Easy: P.